Record 1
Below is a relaxed structure of BaRe2Sb, with properties calculated at the PBE level. Values from VASP.

## Properties
Energy relative to the elements, uncorrected in eV per formula unit: 5.21
SG: Cmmm, No. 65

Quantum ESPRESSO input file:
```
&SYSTEM
  ibrav = 0, nat = 4, ntyp = 3
/
ATOMIC_SPECIES
Ba 137.33 Ba.upf
Re 186.21 Re.upf
Sb 121.76 Sb.upf
CELL_PARAMETERS angstrom
-2.189 -2.184 -0.474
2.285 0.020 -2.137
5.022 -6.186 5.313
ATOMIC_POSITIONS angstrom
Ba 3.814 -5.721 2.679
Re 0.182 -0.225 0.193
Re 2.329 -2.868 2.463
Sb 1.303 -2.629 0.023
```



Record 2
Below is a relaxed structure of Ba3ReSb, with properties calculated at the PBE level. Values from VASP.

## Properties
Energy relative to the elements, uncorrected in eV per formula unit: 1.60
SG: Pm-3m, No. 221

Quantum ESPRESSO input file:
```
&SYSTEM
  ibrav = 0, nat = 5, ntyp = 3
/
ATOMIC_SPECIES
Re 186.21 Re.upf
Ba 137.33 Ba.upf
Sb 121.76 Sb.upf
CELL_PARAMETERS angstrom
5.781 0.000 0.000
0.000 5.781 0.000
0.000 0.000 5.781
ATOMIC_POSITIONS angstrom
Re 0.000 0.000 0.000
Ba 0.000 2.891 0.000
Ba 0.000 0.000 2.891
Ba 2.891 0.000 0.000
Sb 2.891 2.891 2.891
```



Record 3
Below is a relaxed structure of BaRe2Sb, with properties calculated at the PBE level. Values from VASP.

## Properties
Energy relative to the elements, uncorrected in eV per formula unit: 5.05
SG: Immm, No. 71

Quantum ESPRESSO input file:
```
&SYSTEM
  ibrav = 0, nat = 4, ntyp = 3
/
ATOMIC_SPECIES
Ba 137.33 Ba.upf
Re 186.21 Re.upf
Sb 121.76 Sb.upf
CELL_PARAMETERS angstrom
-5.278 -2.258 2.051
-0.618 -6.064 0.021
2.691 5.095 1.988
ATOMIC_POSITIONS angstrom
Ba -0.437 -2.565 1.522
Re -5.693 -8.036 2.000
Re -3.150 -4.447 1.107
Sb -2.767 -0.662 2.537
```



Record 4
Below is a relaxed structure of BaReSb4, with properties calculated at the PBE level. Values from VASP.

## Properties
Energy relative to the elements, uncorrected in eV per formula unit: 3.99
SG: F-43m, No. 216

Quantum ESPRESSO input file:
```
&SYSTEM
  ibrav = 0, nat = 6, ntyp = 3
/
ATOMIC_SPECIES
Ba 137.33 Ba.upf
Re 186.21 Re.upf
Sb 121.76 Sb.upf
CELL_PARAMETERS angstrom
0.000 4.481 4.481
4.481 0.000 4.481
4.481 4.481 0.000
ATOMIC_POSITIONS angstrom
Ba 6.721 6.721 6.721
Re 0.000 0.000 0.000
Sb 3.340 5.622 5.622
Sb 5.622 5.622 3.340
Sb 5.622 3.340 5.622
Sb 3.340 3.340 3.340
```



Record 5
Below is a relaxed structure of Ba4ReSb, with properties calculated at the PBE level. Values from VASP.

## Properties
Energy relative to the elements, uncorrected in eV per formula unit: 6.09
SG: F-43m, No. 216

Quantum ESPRESSO input file:
```
&SYSTEM
  ibrav = 0, nat = 6, ntyp = 3
/
ATOMIC_SPECIES
Ba 137.33 Ba.upf
Re 186.21 Re.upf
Sb 121.76 Sb.upf
CELL_PARAMETERS angstrom
0.000 4.939 4.939
4.939 0.000 4.939
4.939 4.939 0.000
ATOMIC_POSITIONS angstrom
Ba 3.705 6.172 6.172
Ba 6.172 6.172 3.705
Ba 6.172 3.705 6.172
Ba 3.705 3.705 3.705
Re 7.408 7.408 7.408
Sb 0.000 0.000 0.000
```



Record 6
Below is a relaxed structure of BaRe2Sb, with properties calculated at the PBE level. Values from VASP.

## Properties
Energy relative to the elements, uncorrected in eV per formula unit: 5.51
SG: C2/m, No. 12

Quantum ESPRESSO input file:
```
&SYSTEM
  ibrav = 0, nat = 4, ntyp = 3
/
ATOMIC_SPECIES
Ba 137.33 Ba.upf
Re 186.21 Re.upf
Sb 121.76 Sb.upf
CELL_PARAMETERS angstrom
5.667 0.001 0.004
-2.843 5.518 -0.094
-0.019 0.794 2.762
ATOMIC_POSITIONS angstrom
Ba 1.412 2.760 -0.045
Re 0.000 0.000 0.000
Re 2.824 0.398 1.383
Sb -1.431 3.156 1.334
```



Record 7
Below is a relaxed structure of BaRe2Sb, with properties calculated at the PBE level. Values from VASP.

## Properties
Energy relative to the elements, uncorrected in eV per formula unit: 5.86
SG: P4/mmm, No. 123

Quantum ESPRESSO input file:
```
&SYSTEM
  ibrav = 0, nat = 4, ntyp = 3
/
ATOMIC_SPECIES
Ba 137.33 Ba.upf
Re 186.21 Re.upf
Sb 121.76 Sb.upf
CELL_PARAMETERS angstrom
4.565 -0.010 0.000
0.010 4.565 0.000
0.000 0.000 4.144
ATOMIC_POSITIONS angstrom
Ba 0.005 2.282 2.072
Re 0.000 0.000 0.000
Re 2.287 2.278 0.000
Sb 2.282 -0.005 2.072
```



Record 8
Below is a relaxed structure of BaRe2Sb, with properties calculated at the PBE level. Values from VASP.

## Properties
Energy relative to the elements, uncorrected in eV per formula unit: 1.74
SG: Pm, No. 6

Quantum ESPRESSO input file:
```
&SYSTEM
  ibrav = 0, nat = 4, ntyp = 3
/
ATOMIC_SPECIES
Ba 137.33 Ba.upf
Re 186.21 Re.upf
Sb 121.76 Sb.upf
CELL_PARAMETERS angstrom
-1.427 -2.864 -2.529
2.958 -0.436 -1.176
2.424 -5.437 4.789
ATOMIC_POSITIONS angstrom
Ba 3.363 -5.920 1.517
Re 3.177 -1.071 -0.581
Re 0.935 -2.609 -0.863
Sb 2.127 -2.509 1.641
```



Record 9
Below is a relaxed structure of BaRe4Sb, with properties calculated at the PBE level. Values from VASP.

## Properties
Energy relative to the elements, uncorrected in eV per formula unit: 5.43
SG: F-43m, No. 216

Quantum ESPRESSO input file:
```
&SYSTEM
  ibrav = 0, nat = 6, ntyp = 3
/
ATOMIC_SPECIES
Ba 137.33 Ba.upf
Re 186.21 Re.upf
Sb 121.76 Sb.upf
CELL_PARAMETERS angstrom
0.000 3.904 3.904
3.904 0.000 3.904
3.904 3.904 0.000
ATOMIC_POSITIONS angstrom
Ba 0.000 0.000 0.000
Re 2.942 4.866 4.866
Re 4.866 4.866 2.942
Re 4.866 2.942 4.866
Re 2.942 2.942 2.942
Sb 5.856 5.856 5.856
```



Record 10
Below is a relaxed structure of BaRe2Sb, with properties calculated at the PBE level. Values from VASP.

## Properties
Energy relative to the elements, uncorrected in eV per formula unit: 0.47
SG: R3m, No. 160

Quantum ESPRESSO input file:
```
&SYSTEM
  ibrav = 0, nat = 4, ntyp = 3
/
ATOMIC_SPECIES
Ba 137.33 Ba.upf
Re 186.21 Re.upf
Sb 121.76 Sb.upf
CELL_PARAMETERS angstrom
-1.002 -2.513 -3.411
1.306 -4.151 -0.106
-5.378 -4.019 1.761
ATOMIC_POSITIONS angstrom
Ba -1.173 -2.640 -0.490
Re -4.587 -3.759 1.338
Re -4.056 -8.094 -1.182
Sb -3.172 -5.550 -0.537
```



Record 11
Below is a relaxed structure of BaReSbTe2, with properties calculated at the PBE level. Values from VASP.

## Properties
Energy relative to the elements, uncorrected in eV per formula unit: 11.36
SG: P4/mmm, No. 123

Quantum ESPRESSO input file:
```
&SYSTEM
  ibrav = 0, nat = 5, ntyp = 4
/
ATOMIC_SPECIES
Re 186.21 Re.upf
Te 127.60 Te.upf
Ba 137.33 Ba.upf
Sb 121.76 Sb.upf
CELL_PARAMETERS angstrom
-5.146 -1.630 -2.958
3.377 -2.605 -4.438
-0.075 -5.255 3.028
ATOMIC_POSITIONS angstrom
Re -0.922 -4.745 -2.184
Te 1.688 -1.303 -2.219
Te -2.573 -0.815 -1.479
Ba 0.000 0.000 0.000
Sb -0.038 -2.628 1.514
```



Record 12
Below is a relaxed structure of BaReSbTe2, with properties calculated at the PBE level. Values from VASP.

## Properties
Energy relative to the elements, uncorrected in eV per formula unit: -0.42
SG: P4/mmm, No. 123

Quantum ESPRESSO input file:
```
&SYSTEM
  ibrav = 0, nat = 5, ntyp = 4
/
ATOMIC_SPECIES
Re 186.21 Re.upf
Te 127.60 Te.upf
Ba 137.33 Ba.upf
Sb 121.76 Sb.upf
CELL_PARAMETERS angstrom
5.634 0.000 0.000
0.000 5.634 0.000
0.000 0.000 5.100
ATOMIC_POSITIONS angstrom
Re 0.000 0.000 0.000
Te 0.000 2.817 0.000
Te 2.817 0.000 0.000
Ba 2.817 2.817 2.550
Sb 0.000 0.000 2.550
```



Record 13
Below is a relaxed structure of BaZr2ReSb, with properties calculated at the PBE level. Values from VASP.

## Properties
Energy relative to the elements, uncorrected in eV per formula unit: 7.47
SG: P4/mmm, No. 123

Quantum ESPRESSO input file:
```
&SYSTEM
  ibrav = 0, nat = 5, ntyp = 4
/
ATOMIC_SPECIES
Re 186.21 Re.upf
Ba 137.33 Ba.upf
Zr 91.22 Zr.upf
Sb 121.76 Sb.upf
CELL_PARAMETERS angstrom
-0.431 4.098 -3.396
-6.160 -0.331 0.383
0.072 3.411 4.107
ATOMIC_POSITIONS angstrom
Re -3.260 3.589 0.547
Ba -3.080 -0.165 0.191
Zr 0.036 1.706 2.054
Zr -0.216 2.049 -1.698
Sb 0.000 0.000 0.000
```



Record 14
Below is a relaxed structure of BaScRe2, with properties calculated at the PBE level. Values from VASP.

## Properties
SG: C2/m, No. 12
Energy relative to the elements in eV/f.u.: 2.29

Quantum ESPRESSO input file:
```
&SYSTEM
  ibrav = 0, nat = 4, ntyp = 3
/
ATOMIC_SPECIES
Ba 137.33 Ba.upf
Re 186.21 Re.upf
Sc 44.96 Sc.upf
CELL_PARAMETERS angstrom
5.231 -0.006 0.002
3.868 3.522 0.002
1.753 0.677 6.208
ATOMIC_POSITIONS angstrom
Ba 2.713 1.048 1.553
Re 10.603 4.097 5.349
Re 5.676 2.193 3.969
Sc 8.139 3.145 4.659
```



Record 15
Below is a relaxed structure of Ba2ScRe, with properties calculated at the PBE level. Values from VASP.

## Properties
SG: Pmmm, No. 47
Energy relative to the elements in eV/f.u.: 4.60

Quantum ESPRESSO input file:
```
&SYSTEM
  ibrav = 0, nat = 4, ntyp = 3
/
ATOMIC_SPECIES
Ba 137.33 Ba.upf
Re 186.21 Re.upf
Sc 44.96 Sc.upf
CELL_PARAMETERS angstrom
3.585 0.000 0.000
0.000 4.865 0.000
0.000 0.000 7.046
ATOMIC_POSITIONS angstrom
Ba 0.000 0.000 0.134
Ba 0.000 0.000 3.389
Re 1.793 2.432 1.762
Sc 1.793 2.432 5.285
```



Record 16
Below is a relaxed structure of BaScRe2, with properties calculated at the PBE level. Values from VASP.

## Properties
SG: Pmmm, No. 47
Energy relative to the elements in eV/f.u.: 4.61

Quantum ESPRESSO input file:
```
&SYSTEM
  ibrav = 0, nat = 4, ntyp = 3
/
ATOMIC_SPECIES
Ba 137.33 Ba.upf
Re 186.21 Re.upf
Sc 44.96 Sc.upf
CELL_PARAMETERS angstrom
3.230 0.000 0.000
0.000 4.698 0.000
0.000 0.000 5.224
ATOMIC_POSITIONS angstrom
Ba 0.000 2.349 2.612
Re 0.000 0.000 0.000
Re 1.615 2.349 0.000
Sc 1.615 0.000 2.612
```



Record 17
Below is a relaxed structure of BaScRe2, with properties calculated at the PBE level. Values from VASP.

## Properties
SG: P4/mmm, No. 123
Energy relative to the elements in eV/f.u.: 3.77

Quantum ESPRESSO input file:
```
&SYSTEM
  ibrav = 0, nat = 4, ntyp = 3
/
ATOMIC_SPECIES
Ba 137.33 Ba.upf
Re 186.21 Re.upf
Sc 44.96 Sc.upf
CELL_PARAMETERS angstrom
2.875 0.000 0.000
0.000 2.875 0.000
0.000 0.000 10.097
ATOMIC_POSITIONS angstrom
Ba 1.438 1.438 7.573
Re 0.000 0.000 0.351
Re 0.000 0.000 4.698
Sc 1.438 1.438 2.524
```



Record 18
Below is a relaxed structure of BaScRe2, with properties calculated at the PBE level. Values from VASP.

## Properties
SG: Cm, No. 8
Energy relative to the elements in eV/f.u.: 1.20

Quantum ESPRESSO input file:
```
&SYSTEM
  ibrav = 0, nat = 4, ntyp = 3
/
ATOMIC_SPECIES
Ba 137.33 Ba.upf
Re 186.21 Re.upf
Sc 44.96 Sc.upf
CELL_PARAMETERS angstrom
-0.960 3.124 2.710
-4.038 0.662 1.132
-0.870 -3.269 6.799
ATOMIC_POSITIONS angstrom
Ba -1.510 0.378 2.357
Re -0.974 -2.674 6.074
Re -4.354 0.119 8.308
Sc -2.834 -0.315 6.022
```



Record 19
Below is a relaxed structure of BaScRe2, with properties calculated at the PBE level. Values from VASP.

## Properties
SG: P2/m, No. 10
Energy relative to the elements in eV/f.u.: 2.51

Quantum ESPRESSO input file:
```
&SYSTEM
  ibrav = 0, nat = 4, ntyp = 3
/
ATOMIC_SPECIES
Ba 137.33 Ba.upf
Re 186.21 Re.upf
Sc 44.96 Sc.upf
CELL_PARAMETERS angstrom
-2.475 -0.518 3.616
2.300 -1.576 1.349
4.719 4.551 3.882
ATOMIC_POSITIONS angstrom
Ba 4.027 1.972 5.731
Re 2.481 -1.008 1.553
Re 3.329 0.919 2.410
Sc 0.517 0.485 3.115
```



Record 20
Below is a relaxed structure of BaSc2Re, with properties calculated at the PBE level. Values from VASP.

## Properties
SG: R-3m, No. 166
Energy relative to the elements in eV/f.u.: 1.52

Quantum ESPRESSO input file:
```
&SYSTEM
  ibrav = 0, nat = 4, ntyp = 3
/
ATOMIC_SPECIES
Ba 137.33 Ba.upf
Re 186.21 Re.upf
Sc 44.96 Sc.upf
CELL_PARAMETERS angstrom
10.649 0.026 0.015
10.110 3.345 0.015
10.110 1.642 2.915
ATOMIC_POSITIONS angstrom
Ba 7.717 1.253 0.736
Re 23.152 3.759 2.209
Sc 0.685 0.111 0.065
Sc 14.749 2.395 1.407
```



Calculated N(E_F) in order - 4.261, 4.198, 4.262, 4.880, 5.696, 5.392, 3.895, 1.767, 6.864, 3.430, 20.670, 3.246, 8.545, 3.509, 5.664, 5.703, 5.526, 4.172, 4.743, 2.771 states/eV/f.u.
Calculated E_tot in order - -25.7, -20.7, -25.9, -26.9, -18.2, -25.4, -25.1, -29.2, -50.4, -30.5, -13.4, -25.2, -28.1, -30.9, -18.0, -28.5, -29.4, -32.0, -30.6, -25.5 eV/cell